VASP calculation (meta-GGA SCAN) on Ca2CuRh at its PBEsol-relaxed geometry.

a b c (Å): 4.1613 4.0649 10.4008
angles (deg): 90.00 90.00 90.00
Closest atoms and distances in Å follow each position.
Space group Amm2 (No. 38)
Asymmetric unit:
Ca 0.0000 0.0000 0.0000  3 Rh 2.95-3.07, 4 Cu 3.03
Ca 0.5000 0.0000 0.2839  3 Cu 2.93-3.09, 4 Rh 3.02
Cu 0.5000 0.0000 0.5807  2 Rh 2.45
Rh 0.0000 0.0000 0.7049  2 Cu 2.45

Values from the calculation:
E_tot ... -17.371 eV/atom
Spin magnetization ... 0.000 μB per atom
Calculated formation energy ... -0.30 eV/atom

---

VASP calculation (meta-GGA SCAN) on CrPbSeBr2 at its PBEsol-relaxed geometry.

a b c (Å): 5.6193 5.6193 5.3884
angles (deg): 90.00 90.00 90.00
Closest atoms and distances in Å follow each position.
Space group P4/mmm (No. 123)
Asymmetric unit:
Cr 0.0000 0.0000 0.0000  8 Br 3.89, 4 Se 3.97
Pb 0.5000 0.5000 0.5000  2 Se 2.69, 4 Br 2.81
Se 0.5000 0.5000 0.0000  2 Pb 2.69
Br 0.0000 0.5000 0.5000  2 Pb 2.81

Values from the calculation:
E_tot ... -30.542 eV/atom
Spin magnetization ... 0.939 μB per atom

---

VASP calculation (meta-GGA SCAN) on Mg2Be2Se at its PBEsol-relaxed geometry.

a b c (Å): 3.2760 3.2760 15.2098
angles (deg): 90.00 90.00 90.00
Closest atoms and distances in Å follow each position.
Space group I4/mmm (No. 139)
Asymmetric unit:
Mg 0.0000 0.0000 0.1045  4 Be 2.75, 4 Se 2.81
Be 0.0000 0.5000 0.2500  4 Be 2.32
Se 0.0000 0.0000 0.5000  8 Mg 2.81

Values from the calculation:
E_tot ... -7.705 eV/atom
Spin magnetization ... 0.000 μB per atom

---

VASP calculation (meta-GGA SCAN) on Na3HPb at its PBEsol-relaxed geometry.

a b c (Å): 4.7855 4.7855 4.7855
angles (deg): 90.00 90.00 90.00
Closest atoms and distances in Å follow each position.
Space group Pm-3m (No. 221)
Asymmetric unit:
Na 0.0000 0.0000 0.5000  2 H 2.39
H 0.0000 0.0000 0.0000  6 Na 2.39
Pb 0.5000 0.5000 0.5000  12 Na 3.38

Values from the calculation:
E_tot ... -18.572 eV/atom
Spin magnetization ... 0.000 μB per atom

---

VASP calculation (meta-GGA SCAN) on Ca2TaTc at its PBEsol-relaxed geometry.

a b c (Å): 2.8141 2.8141 10.2305
angles (deg): 90.00 90.00 90.00
Closest atoms and distances in Å follow each position.
Space group P4/mmm (No. 123)
Asymmetric unit:
Ca 0.0000 0.0000 0.2361  4 Ca 2.81, 4 Tc 3.13
Ta 0.5000 0.5000 0.5000  4 Ta 2.81
Tc 0.5000 0.5000 0.0000  4 Tc 2.81, 8 Ca 3.13

Values from the calculation:
E_tot ... -29.418 eV/atom
Offset from the most stable computed form ... 153.1 meV per atom
Spin magnetization ... 0.000 μB per atom
Calculated formation energy ... 0.82 eV/atom

---

VASP calculation (meta-GGA SCAN) on Sc2CdSe4 at its PBEsol-relaxed geometry.

a b c (Å): 11.1727 11.1727 11.1727
angles (deg): 90.00 90.00 90.00
Closest atoms and distances in Å follow each position.
Space group Fd-3m (No. 227, origin choice 2)
Asymmetric unit:
Sc 0.0000 0.0000 0.0000  6 Se 2.69
Cd 0.1250 0.1250 0.6250  4 Se 2.61
Se 0.0098 0.0098 0.2402  1 Cd 2.61, 3 Sc 2.69

Values from the calculation:
E_tot ... -21.476 eV/atom
Spin magnetization ... 0.000 μB per atom

---

What is the formula in the second record? CrPbSeBr2